# 1
The following is a SCAN calculation of NaCuAg3 at its PBEsol-relaxed geometry, from the Alexandria database.

CIF file:
```
data_NaCuAg3
_chemical_formula_sum 'Na1 Cu1 Ag3'
_cell_length_a 4.7900
_cell_length_b 4.7900
_cell_length_c 4.7900
_cell_angle_alpha 90.00
_cell_angle_beta 90.00
_cell_angle_gamma 90.00
_space_group_name_H-M_alt 'P m -3 m'
_space_group_IT_number 221
_space_group_name_Hall '-P 4 2 3'
loop_
_atom_site_label
_atom_site_type_symbol
_atom_site_fract_x
_atom_site_fract_y
_atom_site_fract_z
Na1 Na 0.0000 0.0000 0.0000
Cu1 Cu 0.5000 0.5000 0.5000
Ag1 Ag 0.0000 0.5000 0.5000
```

Output
**Calculated volume**: 21.98 Å³/atom
**Formation energy from the elements**: 0.365 eV/atom
**Density**: 6.20 g/cm³
**Spin magnetization**: 0.00 μB per cell

# 2
The following is a SCAN calculation of NbCu2Ag at its PBEsol-relaxed geometry, from the Alexandria database.

CIF file:
```
data_NbCu2Ag
_chemical_formula_sum 'Nb4 Cu8 Ag4'
_cell_length_a 6.0947
_cell_length_b 6.0947
_cell_length_c 6.0947
_cell_angle_alpha 90.00
_cell_angle_beta 90.00
_cell_angle_gamma 90.00
_space_group_name_H-M_alt 'F m -3 m'
_space_group_IT_number 225
_space_group_name_Hall '-F 4 2 3'
loop_
_atom_site_label
_atom_site_type_symbol
_atom_site_fract_x
_atom_site_fract_y
_atom_site_fract_z
Nb1 Nb 0.0000 0.0000 0.0000
Cu1 Cu 0.2500 0.2500 0.2500
Ag1 Ag 0.0000 0.0000 0.5000
```

Output
**Calculated volume**: 14.15 Å³/atom
**Formation energy from the elements**: 0.175 eV/atom
**Density**: 9.62 g/cm³
**Spin magnetization**: 0.00 μB per cell

# 3
The following is a SCAN calculation of NbCuAg3 at its PBEsol-relaxed geometry, from the Alexandria database.

CIF file:
```
data_NbCuAg3
_chemical_formula_sum 'Nb1 Cu1 Ag3'
_cell_length_a 5.0224
_cell_length_b 5.0224
_cell_length_c 5.0224
_cell_angle_alpha 90.00
_cell_angle_beta 90.00
_cell_angle_gamma 90.00
_space_group_name_H-M_alt 'P m -3 m'
_space_group_IT_number 221
_space_group_name_Hall '-P 4 2 3'
loop_
_atom_site_label
_atom_site_type_symbol
_atom_site_fract_x
_atom_site_fract_y
_atom_site_fract_z
Nb1 Nb 0.0000 0.0000 0.0000
Cu1 Cu 0.5000 0.5000 0.5000
Ag1 Ag 0.0000 0.0000 0.5000
```

Output
**Calculated volume**: 25.34 Å³/atom
**Formation energy from the elements**: 1.822 eV/atom
**Density**: 6.29 g/cm³
**Spin magnetization**: 0.00 μB per cell

# 4
The following is a SCAN calculation of NbCuAg2 at its PBEsol-relaxed geometry, from the Alexandria database.

CIF file:
```
data_NbCuAg2
_chemical_formula_sum 'Nb4 Cu4 Ag8'
_cell_length_a 6.3130
_cell_length_b 6.3130
_cell_length_c 6.3130
_cell_angle_alpha 90.00
_cell_angle_beta 90.00
_cell_angle_gamma 90.00
_space_group_name_H-M_alt 'F m -3 m'
_space_group_IT_number 225
_space_group_name_Hall '-F 4 2 3'
loop_
_atom_site_label
_atom_site_type_symbol
_atom_site_fract_x
_atom_site_fract_y
_atom_site_fract_z
Nb1 Nb 0.0000 0.0000 0.0000
Cu1 Cu 0.0000 0.0000 0.5000
Ag1 Ag 0.2500 0.2500 0.2500
```

Output
**Calculated volume**: 15.72 Å³/atom
**Formation energy from the elements**: 0.398 eV/atom
**Density**: 9.83 g/cm³
**Spin magnetization**: 0.00 μB per cell